## Dy6Te3PSe2 (GGA-PBE)

Data for a relaxed Dy6Te3PSe2 crystal.

a = 7.224 Å, b = 12.500 Å, c = 7.411 Å
α = 90.00°, β = 108.89°, γ = 90.00°
Space group C2/m (No. 12)
Unique sites:
Dy 0.229 0.159 0.212
Dy 0.244 0.000 0.785
Te 0.000 0.171 0.500
Te 0.000 0.500 0.500
P 0.000 0.000 0.000
Se 0.000 0.334 0.000

DFT total energy, eV per atom: -5.68
Formation energy (no corrections), meV per atom: -1562.2
Total magnetization, μB/cell: 0.00
Calculated density, g/cm3: 8.11


## Dy3TePSe (GGA-PBE)

Data for a relaxed Dy3TePSe crystal.

a = 6.932 Å, b = 14.516 Å, c = 6.830 Å
α = 90.00°, β = 107.51°, γ = 90.00°
Space group C2/c (No. 15)
Unique sites:
Dy 0.000 0.245 0.250
Dy 0.234 0.068 0.998
Te 0.000 0.251 0.750
P 0.000 0.062 0.250
Se 0.000 0.438 0.250

DFT total energy, eV per atom: -5.67
Formation energy (no corrections), meV per atom: -1359.9
Total magnetization, μB/cell: 0.27
Calculated density, g/cm3: 7.35


## Dy8Tl3PSe3 (GGA-PBE)

Data for a relaxed Dy8Tl3PSe3 crystal.

a = 13.702 Å, b = 7.918 Å, c = 8.988 Å
α = 90.00°, β = 120.53°, γ = 90.00°
Space group C2/m (No. 12)
Unique sites:
Dy 0.009 0.241 0.286
Dy 0.232 0.000 0.714
Dy 0.240 0.500 0.721
Tl 0.000 0.000 0.000
Tl 0.250 0.250 0.000
P 0.000 0.000 0.500
Se 0.000 0.500 0.500
Se 0.250 0.250 0.500

DFT total energy, eV per atom: -4.99
Formation energy (no corrections), meV per atom: -1003.7
Total magnetization, μB/cell: 0.00
Calculated density, g/cm3: 8.62


## Dy6TlP2Se3 (GGA-PBE)

Data for a relaxed Dy6TlP2Se3 crystal.

a = 17.958 Å, b = 4.051 Å, c = 8.362 Å
α = 90.00°, β = 103.40°, γ = 90.00°
Space group C2/m (No. 12)
Unique sites:
Dy 0.006 0.000 0.264
Dy 0.171 0.500 0.103
Dy 0.173 0.500 0.572
Tl 0.000 0.500 0.000
P 0.168 0.000 0.337
Se 0.000 0.500 0.500
Se 0.166 0.000 0.831

DFT total energy, eV per atom: -5.76
Formation energy (no corrections), meV per atom: -1489.0
Total magnetization, μB/cell: 0.00
Calculated density, g/cm3: 8.30


## Dy8ZnP3Se4 (GGA-PBE)

Data for a relaxed Dy8ZnP3Se4 crystal.

a = 8.0826 Å, b = 8.0826 Å, c = 20.0581 Å
α = 90.00°, β = 90.00°, γ = 120.00°
Space group R-3m (No. 166, hexagonal axes)
Unique sites:
Dy 0.0000 0.0000 0.2426
Dy 0.0041 0.5021 0.7544
Zn 0.0000 0.0000 0.5000
P 0.0000 0.5000 0.5000
Se 0.0000 0.0000 0.0000
Se 0.0000 0.5000 0.0000

DFT total energy, eV per atom: -5.84
Formation energy (no corrections), meV per atom: -1569.4
Total magnetization, μB/cell: 0.00
Calculated density, g/cm3: 7.79


## Dy6ZnP2Se3 (GGA-PBE)

Data for a relaxed Dy6ZnP2Se3 crystal.

a = 17.792 Å, b = 4.013 Å, c = 8.239 Å
α = 90.00°, β = 103.88°, γ = 90.00°
Space group C2/m (No. 12)
Unique sites:
Dy 0.004 0.000 0.252
Dy 0.166 0.500 0.096
Dy 0.172 0.500 0.572
Zn 0.000 0.500 0.000
P 0.167 0.000 0.335
Se 0.000 0.500 0.500
Se 0.168 0.000 0.832

DFT total energy, eV per atom: -5.68
Formation energy (no corrections), meV per atom: -1501.9
Total magnetization, μB/cell: 0.00
Calculated density, g/cm3: 7.79


## Dy2SiP (GGA-PBE)

Data for a relaxed Dy2SiP crystal.

a = 4.147 Å, b = 22.194 Å, c = 3.894 Å
α = 90.00°, β = 90.00°, γ = 90.00°
Space group Cmcm (No. 63)
Unique sites:
Dy 0.000 0.067 0.250
Dy 0.000 0.313 0.250
Si 0.000 0.464 0.250
P 0.000 0.188 0.250

Offset from the most stable computed form, meV per atom: 0
DFT total energy, eV per atom: -6.22
Formation energy (no corrections), meV per atom: -1208.3
Total magnetization, μB/cell: 0.00
Calculated density, g/cm3: 7.12


## Dy2SiP (GGA-PBE)

Data for a relaxed Dy2SiP crystal.

a = 3.8130 Å, b = 3.8130 Å, c = 26.9171 Å
α = 90.00°, β = 90.00°, γ = 120.00°
Space group R-3m (No. 166, hexagonal axes)
Unique sites:
Dy 0.0000 0.0000 0.1065
Si 0.0000 0.0000 0.0000
P 0.0000 0.0000 0.5000

Offset from the most stable computed form, meV per atom: 818
DFT total energy, eV per atom: -5.40
Formation energy (no corrections), meV per atom: -390.1
Total magnetization, μB/cell: 0.00
Calculated density, g/cm3: 5.65


## DySiP2 (GGA-PBE)

Data for a relaxed DySiP2 crystal.

a = 4.2404 Å, b = 4.2404 Å, c = 20.9958 Å
α = 90.00°, β = 90.00°, γ = 120.00°
Space group R-3m (No. 166, hexagonal axes)
Unique sites:
Dy 0.0000 0.0000 0.0000
Si 0.0000 0.0000 0.5000
P 0.0000 0.0000 0.3995

DFT total energy, eV per atom: -5.38
Formation energy (no corrections), meV per atom: -165.8
Total magnetization, μB/cell: 0.00
Calculated density, g/cm3: 3.85


## DySiP (GGA-PBE)

Data for a relaxed DySiP crystal.

a = 4.6908 Å, b = 4.6908 Å, c = 21.1560 Å
α = 90.00°, β = 90.00°, γ = 120.00°
Space group R-3m (No. 166, hexagonal axes)
Unique sites:
Dy 0.0000 0.0000 0.0892
Si 0.0000 0.0000 0.3292
P 0.0000 0.0000 0.2226

DFT total energy, eV per atom: -5.85
Formation energy (no corrections), meV per atom: -707.4
Total magnetization, μB/cell: 0.00
Calculated density, g/cm3: 5.48


## Dy4SiTe2P (GGA-PBE)

Data for a relaxed Dy4SiTe2P crystal.

a = 7.227 Å, b = 4.170 Å, c = 7.448 Å
α = 90.00°, β = 108.82°, γ = 90.00°
Space group P2/m (No. 10)
Unique sites:
Dy 0.238 0.000 0.214
Dy 0.261 0.500 0.783
Si 0.500 0.000 0.000
Te 0.000 0.000 0.500
Te 0.500 0.500 0.500
P 0.000 0.500 0.000

DFT total energy, eV per atom: -5.78
Formation energy (no corrections), meV per atom: -1338.6
Total magnetization, μB/cell: 0.00
Calculated density, g/cm3: 7.54


## Dy8SiTe4P3 (GGA-PBE)

Data for a relaxed Dy8SiTe4P3 crystal.

a = 8.2837 Å, b = 8.2837 Å, c = 21.1568 Å
α = 90.00°, β = 90.00°, γ = 120.00°
Space group R-3m (No. 166, hexagonal axes)
Unique sites:
Dy 0.0000 0.0000 0.2369
Dy 0.9996 0.4998 0.2379
Si 0.0000 0.0000 0.5000
Te 0.0000 0.0000 0.0000
Te 0.0000 0.5000 0.0000
P 0.0000 0.5000 0.5000

DFT total energy, eV per atom: -5.89
Formation energy (no corrections), meV per atom: -1448.1
Total magnetization, μB/cell: 0.00
Calculated density, g/cm3: 7.65


## Dy8Si3Te3P (GGA-PBE)

Data for a relaxed Dy8Si3Te3P crystal.

a = 8.3342 Å, b = 8.3342 Å, c = 21.0822 Å
α = 90.00°, β = 90.00°, γ = 120.00°
Space group R-3m (No. 166, hexagonal axes)
Unique sites:
Dy 0.0000 0.0000 0.2397
Dy 0.0016 0.5008 0.2385
Si 0.0000 0.5000 0.5000
Te 0.0000 0.5000 0.0000
P 0.0000 0.0000 0.5000

DFT total energy, eV per atom: -5.58
Formation energy (no corrections), meV per atom: -1050.8
Total magnetization, μB/cell: 2.19
Calculated density, g/cm3: 7.06


## Dy6SiTe3P2 (GGA-PBE)

Data for a relaxed Dy6SiTe3P2 crystal.

a = 18.525 Å, b = 4.150 Å, c = 8.532 Å
α = 90.00°, β = 105.53°, γ = 90.00°
Space group C2/m (No. 12)
Unique sites:
Dy 0.008 0.000 0.232
Dy 0.159 0.500 0.105
Dy 0.175 0.500 0.562
Si 0.000 0.500 0.000
Te 0.000 0.500 0.500
Te 0.167 0.000 0.833
P 0.168 0.000 0.335

DFT total energy, eV per atom: -5.85
Formation energy (no corrections), meV per atom: -1408.9
Total magnetization, μB/cell: 0.00
Calculated density, g/cm3: 7.61


## Dy6Si2Te3P (GGA-PBE)

Data for a relaxed Dy6Si2Te3P crystal.

a = 18.580 Å, b = 4.187 Å, c = 8.563 Å
α = 90.00°, β = 105.00°, γ = 90.00°
Space group C2/m (No. 12)
Unique sites:
Dy 0.008 0.000 0.230
Dy 0.159 0.500 0.101
Dy 0.173 0.500 0.565
Si 0.166 0.000 0.332
Te 0.000 0.500 0.500
Te 0.166 0.000 0.834
P 0.000 0.500 0.000

DFT total energy, eV per atom: -5.70
Formation energy (no corrections), meV per atom: -1260.1
Total magnetization, μB/cell: 0.00
Calculated density, g/cm3: 7.46


## Sm5DyP6 (GGA-PBE)

Data for a relaxed Sm5DyP6 crystal.

a = 7.089 Å, b = 12.275 Å, c = 7.086 Å
α = 90.00°, β = 109.47°, γ = 90.00°
Space group C2/m (No. 12)
Unique sites:
Sm 0.000 0.000 0.000
Sm 0.000 0.166 0.500
Sm 0.000 0.333 0.000
Dy 0.000 0.500 0.500
P 0.247 0.500 0.252
P 0.248 0.335 0.748

DFT total energy, eV per atom: -6.63
ΔE_f, meV per atom: -1577.4
Total magnetization, μB/cell: 0.00
Calculated density, g/cm3: 6.28


## SmDyP (GGA-PBE)

Data for a relaxed SmDyP crystal.

a = 3.9462 Å, b = 3.9462 Å, c = 6.4815 Å
α = 90.00°, β = 90.00°, γ = 120.00°
Space group P3m1 (No. 156)
Unique sites:
Sm 0.0000 0.0000 0.0000
Dy 0.3333 0.6667 0.4938
P 0.6667 0.3333 0.2545

DFT total energy, eV per atom: -5.86
ΔE_f, meV per atom: -951.5
Total magnetization, μB/cell: 0.07
Calculated density, g/cm3: 6.53


## SmDy3P (GGA-PBE)

Data for a relaxed SmDy3P crystal.

a = 5.391 Å, b = 5.391 Å, c = 5.391 Å
α = 90.00°, β = 90.00°, γ = 90.00°
Space group Pm-3m (No. 221)
Unique sites:
Sm 0.000 0.000 0.000
Dy 0.000 0.500 0.500
P 0.500 0.500 0.500

DFT total energy, eV per atom: -5.20
ΔE_f, meV per atom: -408.2
Total magnetization, μB/cell: 1.04
Calculated density, g/cm3: 7.09


## SmDyP (GGA-PBE)

Data for a relaxed SmDyP crystal.

a = 5.451 Å, b = 11.848 Å, c = 5.676 Å
α = 90.00°, β = 90.00°, γ = 90.00°
Space group Cmcm (No. 63)
Unique sites:
Sm 0.000 0.000 0.000
Dy 0.000 0.286 0.250
P 0.000 0.215 0.750

DFT total energy, eV per atom: -5.40
ΔE_f, meV per atom: -492.3
Total magnetization, μB/cell: 0.98
Calculated density, g/cm3: 6.23


## Sm3DyP4 (GGA-PBE)

Data for a relaxed Sm3DyP4 crystal.

a = 8.165 Å, b = 11.545 Å, c = 4.085 Å
α = 90.00°, β = 90.00°, γ = 90.00°
Space group Cmmm (No. 65)
Unique sites:
Sm 0.000 0.000 0.000
Sm 0.250 0.250 0.500
Dy 0.000 0.500 0.000
P 0.000 0.252 0.000
P 0.246 0.500 0.500

DFT total energy, eV per atom: -6.63
ΔE_f, meV per atom: -1579.8
Total magnetization, μB/cell: 0.00
Calculated density, g/cm3: 6.36


## Sm3DyP4 (GGA-PBE)

Data for a relaxed Sm3DyP4 crystal.

a = 5.772 Å, b = 5.772 Å, c = 5.772 Å
α = 90.00°, β = 90.00°, γ = 90.00°
Space group Pm-3m (No. 221)
Unique sites:
Sm 0.000 0.000 0.500
Dy 0.500 0.500 0.500
P 0.000 0.000 0.000
P 0.000 0.500 0.500

DFT total energy, eV per atom: -6.63
ΔE_f, meV per atom: -1580.1
Total magnetization, μB/cell: 0.00
Calculated density, g/cm3: 6.37


## SmDy2P (GGA-PBE)

Data for a relaxed SmDy2P crystal.

a = 3.7456 Å, b = 3.7456 Å, c = 30.6020 Å
α = 90.00°, β = 90.00°, γ = 120.00°
Space group R-3m (No. 166, hexagonal axes)
Unique sites:
Sm 0.0000 0.0000 0.0000
Dy 0.0000 0.0000 0.1137
P 0.0000 0.0000 0.5000

DFT total energy, eV per atom: -5.36
ΔE_f, meV per atom: -525.1
Total magnetization, μB/cell: 2.98
Calculated density, g/cm3: 6.78


## SmDy4P5 (GGA-PBE)

Data for a relaxed SmDy4P5 crystal.

a = 9.007 Å, b = 9.007 Å, c = 5.698 Å
α = 90.00°, β = 90.00°, γ = 90.00°
Space group I4/m (No. 87)
Unique sites:
Sm 0.000 0.000 0.000
Dy 0.101 0.700 0.500
P 0.000 0.000 0.500
P 0.101 0.697 0.000

DFT total energy, eV per atom: -6.62
ΔE_f, meV per atom: -1604.1
Total magnetization, μB/cell: 0.00
Calculated density, g/cm3: 6.86